# Pm3MnTe6 GGA-PBE relaxed
# Size of the total moment   3.96 μB/f.u.
# Calculated density   6137 kg/m3
# Formation energy from raw total energies   -1.061 eV per atom
data_Pm3MnTe6
_chemical_formula_sum 'Pm12 Mn4 Te24'
_cell_length_a 12.310
_cell_length_b 14.825
_cell_length_c 7.446
_cell_angle_alpha 90.00
_cell_angle_beta 90.00
_cell_angle_gamma 90.00
_symmetry_space_group_name_H-M 'C m c 21'
_symmetry_Int_Tables_number 36
loop_
_symmetry_equiv_pos_as_xyz
'x,y,z'
'-x,-y,z+1/2'
'-x,y,z'
'x,-y,z+1/2'
'x+1/2,y+1/2,z'
'-x+1/2,-y+1/2,z+1/2'
'-x+1/2,y+1/2,z'
'x+1/2,-y+1/2,z+1/2'
loop_
_atom_site_label
_atom_site_fract_x
_atom_site_fract_y
_atom_site_fract_z
_atom_site_occupancy
Pm1 0.000 0.100 0.000 1
Pm2 0.177 0.403 0.108 1
Mn1 0.000 0.293 0.648 1
Te1 0.000 0.274 0.289 1
Te2 0.000 0.459 0.796 1
Te3 0.163 0.037 0.304 1
Te4 0.173 0.235 0.822 1